{"formula": "CaYCr2Ge", "functional": "PBE-GGA", "state": "optimized geometry", "lattice": [[5.172, 0.000, 0.000], [0.000, 5.172, 0.000], [0.000, 0.000, 5.420]], "species": ["Ca", "Y", "Cr", "Cr", "Ge"], "frac_coords": [[0.000, 0.000, 0.000], [0.500, 0.500, 0.500], [0.000, 0.500, 0.500], [0.500, 0.000, 0.500], [0.500, 0.500, 0.000]], "e_tot_ev_per_atom": -5.42, "ef_ev_per_fu": 5.22}



{"formula": "CaCrH2", "functional": "PBE-GGA", "state": "optimized geometry", "lattice": [[0.000, 3.003, 3.003], [3.003, 0.000, 3.003], [3.003, 3.003, 0.000]], "species": ["Ca", "Cr", "H", "H"], "frac_coords": [[0.000, 0.000, 0.000], [0.500, 0.500, 0.500], [0.250, 0.250, 0.250], [0.750, 0.750, 0.750]], "e_tot_ev_per_atom": -4.15}



{"formula": "CaCrH4", "functional": "PBE-GGA", "state": "optimized geometry", "lattice": [[2.623, -4.683, 0.000], [2.623, 4.683, 0.000], [-0.628, 0.000, 4.482]], "species": ["Ca", "Ca", "Cr", "Cr", "H", "H", "H", "H", "H", "H", "H", "H"], "frac_coords": [[0.147, 0.853, 0.750], [0.853, 0.147, 0.250], [0.472, 0.528, 0.750], [0.528, 0.472, 0.250], [0.116, 0.303, 0.779], [0.301, 0.580, 0.450], [0.303, 0.116, 0.279], [0.420, 0.699, 0.050], [0.580, 0.301, 0.950], [0.697, 0.884, 0.721], [0.699, 0.420, 0.550], [0.884, 0.697, 0.221]], "e_tot_ev_per_atom": -4.36}